A geometry-optimized Mn2MoCl structure, computed with PBE.

Cell and atoms, written as CIF:
```
data_Mn2MoCl
_chemical_formula_sum 'Mn4 Mo2 Cl2'
_cell_length_a 3.146
_cell_length_b 4.823
_cell_length_c 8.074
_cell_angle_alpha 90.00
_cell_angle_beta 90.00
_cell_angle_gamma 90.00
_symmetry_space_group_name_H-M 'C m m 2'
_symmetry_Int_Tables_number 35
loop_
_symmetry_equiv_pos_as_xyz
'x,y,z'
'-x,-y,z'
'-x,y,z'
'x,-y,z'
'x+1/2,y+1/2,z'
'-x+1/2,-y+1/2,z'
'-x+1/2,y+1/2,z'
'x+1/2,-y+1/2,z'
loop_
_atom_site_label
_atom_site_fract_x
_atom_site_fract_y
_atom_site_fract_z
_atom_site_occupancy
Mn1 0.000 0.000 0.000 1
Mn2 0.000 0.500 0.248 1
Mo1 0.000 0.000 0.468 1
Cl1 0.000 0.500 0.758 1
```

**Raw formation energy**: 0.378 eV per atom
**Offset from the most stable computed form**: 22.7 kJ/mol of atoms
**Fermi-level density of states**: 3.49 states/eV/f.u.
**Total DFT energy (no corrections)**: -7.376 eV/atom


A geometry-optimized Ti3Os structure, computed with PBE.

Cell and atoms, written as CIF:
```
data_Ti3Os
_chemical_formula_sum 'Ti3 Os1'
_cell_length_a 3.998
_cell_length_b 3.998
_cell_length_c 3.998
_cell_angle_alpha 90.00
_cell_angle_beta 90.00
_cell_angle_gamma 90.00
_symmetry_space_group_name_H-M 'P m -3 m'
_symmetry_Int_Tables_number 221
_symmetry_space_group_name_Hall '-P 4 2 3'
loop_
_atom_site_label
_atom_site_fract_x
_atom_site_fract_y
_atom_site_fract_z
_atom_site_occupancy
Ti1 0.000 0.000 0.500 1
Os1 0.500 0.500 0.500 1
```

**Fermi-level density of states**: 7.08 states/eV/f.u.
**Calculated formation energy**: -0.140 eV per atom
**Total DFT energy (no corrections)**: -8.869 eV/atom


A geometry-optimized InPt structure, computed with PBE.

Cell and atoms, written as CIF:
```
data_InPt
_chemical_formula_sum 'In4 Pt4'
_cell_length_a 6.092
_cell_length_b 6.092
_cell_length_c 6.092
_cell_angle_alpha 90.00
_cell_angle_beta 90.00
_cell_angle_gamma 90.00
_symmetry_space_group_name_H-M 'F -4 3 m'
_symmetry_Int_Tables_number 216
_symmetry_space_group_name_Hall 'F -4 2 3'
loop_
_atom_site_label
_atom_site_fract_x
_atom_site_fract_y
_atom_site_fract_z
_atom_site_occupancy
In1 0.000 0.000 0.000 1
Pt1 0.250 0.250 0.250 1
```

**Fermi-level density of states**: 0.70 states/eV/f.u.
**Calculated formation energy**: 0.063 eV per atom
**Total DFT energy (no corrections)**: -4.326 eV/atom


A geometry-optimized VRh5W structure, computed with PBE.

Cell and atoms, written as CIF:
```
data_VRh5W
_chemical_formula_sum 'V4 Rh20 W4'
_cell_length_a 8.825
_cell_length_b 5.797
_cell_length_c 9.036
_cell_angle_alpha 90.00
_cell_angle_beta 109.96
_cell_angle_gamma 90.00
_symmetry_space_group_name_H-M 'C 1 2/c 1'
_symmetry_Int_Tables_number 15
loop_
_symmetry_equiv_pos_as_xyz
'x,y,z'
'-x,-y,-z'
'-x,y,-z+1/2'
'x,-y,z+1/2'
'x+1/2,y+1/2,z'
'-x+1/2,-y+1/2,-z'
'-x+1/2,y+1/2,-z+1/2'
'x+1/2,-y+1/2,z+1/2'
loop_
_atom_site_label
_atom_site_fract_x
_atom_site_fract_y
_atom_site_fract_z
_atom_site_occupancy
V1 0.250 0.250 0.000 1
Rh1 0.000 0.162 0.750 1
Rh2 0.094 0.172 0.484 1
Rh3 0.243 0.093 0.259 1
W1 0.000 0.409 0.250 1
```

**Offset from the most stable computed form**: 15.2 kJ/mol of atoms
**Fermi-level density of states**: 7.44 states/eV/f.u.
**Calculated formation energy**: 0.041 eV per atom
**Total DFT energy (no corrections)**: -8.364 eV/atom